Compound: FeOsO
Source: Alexandria via LeMat-Bulk
Functional: PBE with a Hubbard U
Structure: optimized geometry

Output
**Spin magnetization**: 7.0 Bohr magnetons per cell
**Uncorrected energy**: -7.45 eV per atom
**Energy above the most stable polymorph in this dataset**: 0.144 eV/atom
**Density of states at the Fermi level**: 1.49 states/eV/f.u.
**Crystal system**: monoclinic

a = 6.692 Å, b = 6.692 Å, c = 4.254 Å
α = 98.95°, β = 98.95°, γ = 24.77°
Fractional coordinates of all 6 atoms:
Fe (0.151, 0.151, 0.309)
Fe (0.849, 0.849, 0.691)
Os (0.451, 0.451, 0.217)
Os (0.549, 0.549, 0.783)
O (0.308, 0.308, 0.322)
O (0.692, 0.692, 0.678)